An optimized crystal structure of ThTePdS, computed with PBE.

```
ThTePdS
1.0
4.529 0.000 0.000
0.000 4.529 0.000
0.000 0.000 8.779
Th Te Pd S
2 2 2 2
Direct
0.250 0.250 0.197
0.750 0.750 0.803
0.250 0.250 0.680
0.750 0.750 0.320
0.250 0.750 0.500
0.750 0.250 0.500
0.250 0.750 0.000
0.750 0.250 0.000
```

**Calculated total energy**: -0.4604 Ry per atom
**Symmetry**: No. 129
**Total magnetization**: 0.0 μB/f.u.